1.
# Sr4PrTh3As8 GGA-PBE optimized geometry
# * SG: R-3m
# * total energy: -92.0 eV/cell
data_Sr4PrTh3As8
_symmetry_space_group_name_H-M 'P 1'
_symmetry_Int_Tables_number 1
_cell_length_a 8.749
_cell_length_b 8.805
_cell_length_c 8.749
_cell_angle_alpha 119.79
_cell_angle_beta 120.00
_cell_angle_gamma 90.00
loop_
_symmetry_equiv_pos_as_xyz
'x,y,z'
loop_
_atom_site_label
_atom_site_type_symbol
_atom_site_fract_x
_atom_site_fract_y
_atom_site_fract_z
Sr1 Sr 0.500 0.000 0.000
Sr2 Sr 0.000 0.000 0.000
Sr3 Sr 0.000 0.000 0.500
Sr4 Sr 0.500 0.000 0.500
As1 As 0.245 0.729 0.984
As2 As 0.738 0.729 0.984
As3 As 0.258 0.274 0.516
As4 As 0.245 0.729 0.490
As5 As 0.755 0.271 0.510
As6 As 0.755 0.271 0.016
As7 As 0.742 0.726 0.484
As8 As 0.262 0.271 0.016
Pr1 Pr 0.000 0.500 0.000
Th1 Th 0.500 0.500 0.500
Th2 Th 0.500 0.500 0.000
Th3 Th 0.000 0.500 0.500

2.
# Sr3PrTh2As6 GGA-PBE optimized geometry
# * SG: C2/m
# * total energy: -68.1 eV/cell
data_Sr3PrTh2As6
_symmetry_space_group_name_H-M 'P 1'
_symmetry_Int_Tables_number 1
_cell_length_a 7.583
_cell_length_b 7.583
_cell_length_c 7.644
_cell_angle_alpha 99.52
_cell_angle_beta 99.52
_cell_angle_gamma 120.02
loop_
_symmetry_equiv_pos_as_xyz
'x,y,z'
loop_
_atom_site_label
_atom_site_type_symbol
_atom_site_fract_x
_atom_site_fract_y
_atom_site_fract_z
As1 As 0.737 0.737 0.229
As2 As 0.415 0.076 0.229
As3 As 0.585 0.924 0.771
As4 As 0.076 0.415 0.229
As5 As 0.924 0.585 0.771
As6 As 0.263 0.263 0.771
Sr1 Sr 0.500 0.500 0.500
Sr2 Sr 0.165 0.835 0.500
Sr3 Sr 0.835 0.165 0.500
Th1 Th 0.667 0.333 0.000
Th2 Th 0.333 0.667 0.000
Pr1 Pr 0.000 0.000 0.000

3.
# SrPr2ThAs4 GGA-PBE optimized geometry
# * SG: P2/m
# * total energy: -48.4 eV/cell
data_SrPr2ThAs4
_symmetry_space_group_name_H-M 'P 1'
_symmetry_Int_Tables_number 1
_cell_length_a 4.336
_cell_length_b 7.507
_cell_length_c 7.498
_cell_angle_alpha 109.16
_cell_angle_beta 90.00
_cell_angle_gamma 90.00
loop_
_symmetry_equiv_pos_as_xyz
'x,y,z'
loop_
_atom_site_label
_atom_site_type_symbol
_atom_site_fract_x
_atom_site_fract_y
_atom_site_fract_z
Th1 Th 0.000 0.000 0.000
As1 As 0.000 0.238 0.746
As2 As 0.500 0.759 0.752
As3 As 0.500 0.241 0.248
As4 As 0.000 0.762 0.254
Pr1 Pr 0.500 0.000 0.500
Pr2 Pr 0.000 0.500 0.500
Sr1 Sr 0.500 0.500 0.000

4.
# SrPr2UAs4 GGA-PBE optimized geometry
# * SG: F222
# * total energy: -50.5 eV/cell
data_SrPr2UAs4
_symmetry_space_group_name_H-M 'P 1'
_symmetry_Int_Tables_number 1
_cell_length_a 6.051
_cell_length_b 6.051
_cell_length_c 7.427
_cell_angle_alpha 114.15
_cell_angle_beta 114.15
_cell_angle_gamma 89.77
loop_
_symmetry_equiv_pos_as_xyz
'x,y,z'
loop_
_atom_site_label
_atom_site_type_symbol
_atom_site_fract_x
_atom_site_fract_y
_atom_site_fract_z
As1 As 0.516 0.016 0.031
As2 As 0.755 0.755 0.509
As3 As 0.245 0.245 0.491
As4 As 0.984 0.484 0.969
Pr1 Pr 0.250 0.750 0.500
Pr2 Pr 0.000 0.000 0.000
Sr1 Sr 0.500 0.500 0.000
U1 U 0.750 0.250 0.500

5.
# Sr2PrUAs4 GGA-PBE optimized geometry
# * SG: P2/m
# * total energy: -47.1 eV/cell
data_Sr2PrUAs4
_symmetry_space_group_name_H-M 'P 1'
_symmetry_Int_Tables_number 1
_cell_length_a 4.329
_cell_length_b 7.457
_cell_length_c 7.565
_cell_angle_alpha 109.13
_cell_angle_beta 90.00
_cell_angle_gamma 90.00
loop_
_symmetry_equiv_pos_as_xyz
'x,y,z'
loop_
_atom_site_label
_atom_site_type_symbol
_atom_site_fract_x
_atom_site_fract_y
_atom_site_fract_z
Pr1 Pr 0.000 0.000 0.000
Sr1 Sr 0.500 0.000 0.500
Sr2 Sr 0.000 0.500 0.500
As1 As 0.000 0.724 0.216
As2 As 0.500 0.260 0.223
As3 As 0.000 0.276 0.784
As4 As 0.500 0.740 0.777
U1 U 0.500 0.500 0.000

6.
# Sr3Pr2UAs6 GGA-PBE optimized geometry
# * SG: C2/m
# * total energy: -68.2 eV/cell
data_Sr3Pr2UAs6
_symmetry_space_group_name_H-M 'P 1'
_symmetry_Int_Tables_number 1
_cell_length_a 7.492
_cell_length_b 7.492
_cell_length_c 7.598
_cell_angle_alpha 99.52
_cell_angle_beta 99.52
_cell_angle_gamma 119.99
loop_
_symmetry_equiv_pos_as_xyz
'x,y,z'
loop_
_atom_site_label
_atom_site_type_symbol
_atom_site_fract_x
_atom_site_fract_y
_atom_site_fract_z
U1 U 0.000 0.000 0.000
Pr1 Pr 0.334 0.666 0.000
Pr2 Pr 0.666 0.334 0.000
As1 As 0.074 0.384 0.222
As2 As 0.384 0.074 0.222
As3 As 0.234 0.234 0.779
As4 As 0.766 0.766 0.221
As5 As 0.616 0.926 0.778
As6 As 0.926 0.616 0.778
Sr1 Sr 0.500 0.500 0.500
Sr2 Sr 0.171 0.829 0.500
Sr3 Sr 0.829 0.171 0.500

7.
# PrTaAs2 GGA-PBE optimized geometry
# * SG: R-3m
# * total energy: -29.1 eV/cell
data_PrTaAs2
_symmetry_space_group_name_H-M 'P 1'
_symmetry_Int_Tables_number 1
_cell_length_a 3.970
_cell_length_b 3.970
_cell_length_c 6.935
_cell_angle_alpha 73.37
_cell_angle_beta 73.37
_cell_angle_gamma 60.00
loop_
_symmetry_equiv_pos_as_xyz
'x,y,z'
loop_
_atom_site_label
_atom_site_type_symbol
_atom_site_fract_x
_atom_site_fract_y
_atom_site_fract_z
As1 As 0.737 0.737 0.789
As2 As 0.263 0.263 0.211
Ta1 Ta 0.000 0.000 0.000
Pr1 Pr 0.500 0.500 0.500

8.
# TbPr2As3 GGA-PBE optimized geometry
# * SG: I4/mmm
# * excess energy over the best structure of this formula in the dataset: 0.3 kJ/mol of atoms
data_TbPr2As3
_symmetry_space_group_name_H-M 'P 1'
_symmetry_Int_Tables_number 1
_cell_length_a 4.257
_cell_length_b 4.257
_cell_length_c 9.508
_cell_angle_alpha 102.94
_cell_angle_beta 102.94
_cell_angle_gamma 89.99
loop_
_symmetry_equiv_pos_as_xyz
'x,y,z'
loop_
_atom_site_label
_atom_site_type_symbol
_atom_site_fract_x
_atom_site_fract_y
_atom_site_fract_z
As1 As 0.270 0.272 0.546
As2 As 0.934 0.936 0.874
As3 As 0.598 0.599 0.202
Tb1 Tb 0.434 0.436 0.874
Pr1 Pr 0.100 0.102 0.206
Pr2 Pr 0.768 0.769 0.542

9.
# Tb5Pr3As8 GGA-PBE optimized geometry
# * SG: R-3m
# * total energy: -99.0 eV/cell
data_Tb5Pr3As8
_symmetry_space_group_name_H-M 'P 1'
_symmetry_Int_Tables_number 1
_cell_length_a 8.406
_cell_length_b 8.406
_cell_length_c 8.407
_cell_angle_alpha 60.00
_cell_angle_beta 60.00
_cell_angle_gamma 60.00
loop_
_symmetry_equiv_pos_as_xyz
'x,y,z'
loop_
_atom_site_label
_atom_site_type_symbol
_atom_site_fract_x
_atom_site_fract_y
_atom_site_fract_z
Tb1 Tb 0.000 0.500 0.000
Tb2 Tb 0.500 0.000 0.000
Tb3 Tb 0.500 0.500 0.500
Tb4 Tb 0.000 0.000 0.000
Tb5 Tb 0.500 0.500 0.000
Pr1 Pr 0.000 0.000 0.500
Pr2 Pr 0.000 0.500 0.500
Pr3 Pr 0.500 0.000 0.500
As1 As 0.743 0.250 0.757
As2 As 0.747 0.747 0.760
As3 As 0.253 0.253 0.240
As4 As 0.250 0.743 0.757
As5 As 0.750 0.257 0.243
As6 As 0.257 0.750 0.243
As7 As 0.750 0.750 0.243
As8 As 0.250 0.250 0.757

10.
# TbPr2As3 GGA-PBE optimized geometry
# * SG: Immm
# * excess energy over the best structure of this formula in the dataset: 0.0 kJ/mol of atoms
data_TbPr2As3
_symmetry_space_group_name_H-M 'P 1'
_symmetry_Int_Tables_number 1
_cell_length_a 4.257
_cell_length_b 6.018
_cell_length_c 7.364
_cell_angle_alpha 114.12
_cell_angle_beta 106.80
_cell_angle_gamma 90.00
loop_
_symmetry_equiv_pos_as_xyz
'x,y,z'
loop_
_atom_site_label
_atom_site_type_symbol
_atom_site_fract_x
_atom_site_fract_y
_atom_site_fract_z
Pr1 Pr 0.667 0.167 0.335
Pr2 Pr 0.333 0.833 0.665
As1 As 0.661 0.661 0.322
As2 As 0.000 0.000 0.000
As3 As 0.339 0.339 0.678
Tb1 Tb 0.000 0.500 0.000

11.
# Tb4PrAs5 GGA-PBE optimized geometry
# * SG: Immm
# * total energy: -61.8 eV/cell
data_Tb4PrAs5
_symmetry_space_group_name_H-M 'P 1'
_symmetry_Int_Tables_number 1
_cell_length_a 4.175
_cell_length_b 5.904
_cell_length_c 11.040
_cell_angle_alpha 105.51
_cell_angle_beta 100.90
_cell_angle_gamma 90.00
loop_
_symmetry_equiv_pos_as_xyz
'x,y,z'
loop_
_atom_site_label
_atom_site_type_symbol
_atom_site_fract_x
_atom_site_fract_y
_atom_site_fract_z
Tb1 Tb 0.202 0.202 0.403
Tb2 Tb 0.601 0.601 0.202
Tb3 Tb 0.399 0.399 0.798
Tb4 Tb 0.798 0.798 0.597
As1 As 0.800 0.300 0.601
As2 As 0.200 0.700 0.399
As3 As 0.604 0.104 0.208
As4 As 0.396 0.896 0.792
As5 As 0.000 0.500 0.000
Pr1 Pr 0.000 0.000 0.000

12.
# TbPr5As6 GGA-PBE optimized geometry
# * SG: C2/m
# * total energy: -74.5 eV/cell
data_TbPr5As6
_symmetry_space_group_name_H-M 'P 1'
_symmetry_Int_Tables_number 1
_cell_length_a 7.417
_cell_length_b 7.418
_cell_length_c 7.416
_cell_angle_alpha 59.99
_cell_angle_beta 80.39
_cell_angle_gamma 70.51
loop_
_symmetry_equiv_pos_as_xyz
'x,y,z'
loop_
_atom_site_label
_atom_site_type_symbol
_atom_site_fract_x
_atom_site_fract_y
_atom_site_fract_z
Pr1 Pr 0.500 0.168 0.665
Pr2 Pr 0.500 0.832 0.335
Pr3 Pr 0.000 0.334 0.333
Pr4 Pr 0.500 0.500 0.000
Pr5 Pr 0.000 0.666 0.667
As1 As 0.754 0.410 0.672
As2 As 0.754 0.082 0.328
As3 As 0.247 0.246 0.000
As4 As 0.246 0.590 0.328
As5 As 0.753 0.754 0.000
As6 As 0.246 0.918 0.672
Tb1 Tb 0.000 0.000 0.000

These records have total magnetization values of 0.000 0.000 0.000 1.894 1.000 0.000 0.000 0.000 0.000 0.000 0.000 0.000 μB/cell, in the order they appear.